{
  "formula": "K2TeAu",
  "functional": "meta-GGA SCAN",
  "state": "PBEsol geometry",
  "lattice_angstrom": [[0.0000, 3.8578, 3.8578], [3.8578, 0.0000, 3.8578], [3.8578, 3.8578, 0.0000]],
  "species": ["K", "K", "Te", "Au"],
  "frac_coords": [[0.0000, 0.0000, 0.0000], [0.2500, 0.2500, 0.2500], [0.5000, 0.5000, 0.5000], [0.7500, 0.7500, 0.7500]],
  "formation_energy_uncorrected_ev_per_atom": -0.4922,
  "magnetic_moment_mub_per_fu": 0.00,
  "space_group": "F-43m (216)",
  "crystal_system": "cubic"
}